(1)
VASP calculation (PBE+U) on NaLa2MnO5 after structural relaxation.

Output
SG: P4/mbm

Cell and atoms, written as POSCAR:
```
NaLa2MnO5
1.0
-4.1602 2.7500 -3.0416
-0.2880 -5.2863 -4.3856
-4.8173 -2.9734 3.9005
O La Mn Na
10 4 2 2
direct
0.2370 0.1341 0.6341
0.2370 0.8659 0.3659
0.5000 0.5000 0.5000
0.7630 0.8659 0.3659
0.5000 0.0000 0.0000
0.7630 0.3659 0.1341
0.7630 0.6341 0.8659
0.7630 0.1341 0.6341
0.2370 0.3659 0.1341
0.2370 0.6341 0.8659
0.5000 0.8190 0.6810
0.5000 0.6810 0.1810
0.5000 0.1810 0.3190
0.5000 0.3190 0.8190
0.0000 0.0000 0.5000
0.0000 0.5000 0.0000
0.0000 0.5000 0.5000
0.0000 0.0000 0.0000
```

***

(2)
VASP calculation (PBE+U) on NaLa2Mn3O9 after structural relaxation.

Output
SG: P-3m1

Cell and atoms, written as POSCAR:
```
NaLa2Mn3O9
1.0
-4.8091 -1.1967 -2.3128
4.3430 -3.1966 -0.9106
-1.6301 -3.7301 5.3197
Mn O La Na
3 9 2 1
direct
0.6667 0.3333 0.3372
0.0000 0.0000 0.0000
0.3333 0.6667 0.6628
0.8283 0.1717 0.1556
0.5000 0.0000 0.5000
0.1717 0.3434 0.8444
0.1717 0.8283 0.8444
0.3434 0.1717 0.1556
0.6566 0.8283 0.8444
0.8283 0.6566 0.1556
0.0000 0.5000 0.5000
0.5000 0.5000 0.5000
0.6667 0.3333 0.8253
0.3333 0.6667 0.1747
0.0000 0.0000 0.5000
```

***

(3)
VASP calculation (PBE+U) on Na4La3MnO8 after structural relaxation.

Output
SG: C2/m

Cell and atoms, written as POSCAR:
```
Na4La3MnO8
1.0
-3.4878 -5.5550 -2.2115
5.6950 -3.6777 0.2562
-2.2868 3.3541 6.0142
La O Na Mn
3 8 4 1
direct
0.5000 0.5000 0.5000
0.5000 0.5000 0.0000
0.0000 0.5000 0.5000
0.1864 0.6813 0.9625
0.7258 0.7179 0.4516
0.2853 0.7702 0.5707
0.2239 0.3187 0.0375
0.7147 0.2298 0.4293
0.7761 0.6813 0.9625
0.8136 0.3187 0.0375
0.2742 0.2821 0.5484
0.0000 0.0000 0.5000
0.0000 0.0000 0.0000
0.5000 0.0000 0.0000
0.5000 0.0000 0.5000
0.0000 0.5000 0.0000
```

***

(4)
VASP calculation (PBE+U) on NaLaMn4O12 after structural relaxation.

Output
SG: Amm2

Cell and atoms, written as POSCAR:
```
NaLaMn4O12
1.0
-3.6102 -1.1466 3.7668
-2.3428 -3.5055 -3.2802
4.5034 -5.4859 2.6462
O Na Mn La
12 1 4 1
direct
0.4431 0.0329 0.5000
0.7348 0.2663 0.2431
0.2663 0.7348 0.2431
0.7555 0.7555 0.2757
0.2486 0.2486 0.2111
0.9800 0.5278 0.0000
0.7555 0.7555 0.7243
0.5278 0.9800 0.0000
0.2663 0.7348 0.7569
0.0329 0.4431 0.5000
0.2486 0.2486 0.7889
0.7348 0.2663 0.7569
0.9950 0.9950 0.5000
0.4981 0.0038 0.2591
0.0038 0.4981 0.7409
0.4981 0.0038 0.7409
0.0038 0.4981 0.2591
0.5040 0.5040 0.0000
```

***

(5)
VASP calculation (PBE+U) on NaSrLaMnO6 after structural relaxation.

Output
SG: F-43m

Cell and atoms, written as POSCAR:
```
NaSrLaMnO6
1.0
0.0000 4.2219 4.2219
4.2219 0.0000 4.2219
4.2219 4.2219 0.0000
Mn O Sr Na La
1 6 1 1 1
direct
0.5000 0.5000 0.5000
0.7244 0.7244 0.2756
0.2756 0.7244 0.2756
0.7244 0.2756 0.2756
0.2756 0.2756 0.7244
0.2756 0.7244 0.7244
0.7244 0.2756 0.7244
0.2500 0.2500 0.2500
0.7500 0.7500 0.7500
0.0000 0.0000 0.0000
```

***

(6)
VASP calculation (PBE+U) on NaLa2Ti2MnO9 after structural relaxation.

Output
SG: C2

Cell and atoms, written as POSCAR:
```
NaLa2Ti2MnO9
1.0
-1.7369 0.6744 -5.1724
-1.2221 -4.4052 -3.0540
-12.7588 0.5305 4.3722
Ti O Mn Na La
4 18 2 2 4
direct
0.9927 0.9993 0.7485
0.0007 0.0073 0.2515
0.6622 0.6714 0.5837
0.3286 0.3378 0.4163
0.8988 0.7666 0.6658
0.6919 0.1888 0.3459
0.5749 0.4251 0.0000
0.2334 0.1012 0.3342
0.5283 0.0228 0.5114
0.0862 0.2285 0.8387
0.8112 0.3081 0.6541
0.1867 0.6930 0.8467
0.1452 0.6432 0.3208
0.0381 0.5227 0.0156
0.3568 0.8548 0.6792
0.7715 0.9138 0.1613
0.4773 0.9619 0.9844
0.6456 0.1353 0.8233
0.9772 0.4717 0.4886
0.3070 0.8133 0.1533
0.4268 0.5732 0.5000
0.8647 0.3544 0.1767
0.3322 0.3309 0.9156
0.6691 0.6678 0.0844
0.6733 0.6630 0.3331
0.3370 0.3267 0.6669
0.0044 0.9956 0.0000
0.6552 0.6671 0.8331
0.3329 0.3448 0.1669
0.9899 0.0101 0.5000
```

***

(7)
VASP calculation (PBE+U) on NaLaMnWO6 after structural relaxation.

Output
SG: F-43m
Energy relative to the lowest polymorph listed for this composition, kcal/mol of atoms: 3.01

Cell and atoms, written as POSCAR:
```
NaLaMnWO6
1.0
1.6875 -2.7181 4.7315
-3.2116 0.2181 4.7181
-2.7953 -4.6559 1.7696
W O Na La Mn
1 6 1 1 1
direct
0.5000 0.5000 0.5000
0.7397 0.2603 0.2603
0.7397 0.2603 0.7397
0.2603 0.2603 0.7397
0.7397 0.7397 0.2603
0.2603 0.7397 0.7397
0.2603 0.7397 0.2603
0.7500 0.7500 0.7500
0.2500 0.2500 0.2500
0.0000 0.0000 0.0000
```

***

(8)
VASP calculation (PBE+U) on NaLaMnWO6 after structural relaxation.

Output
SG: P2_1
Energy relative to the lowest polymorph listed for this composition, kcal/mol of atoms: 0.00

Cell and atoms, written as POSCAR:
```
NaLaMnWO6
1.0
-4.7272 2.7657 -1.6168
-0.3909 -3.3185 -4.5338
-4.5180 -5.2611 4.2103
O La Mn W Na
12 2 2 2 2
direct
0.2203 0.6639 0.0101
0.7744 0.1664 0.5183
0.7203 0.3361 0.9899
0.4278 0.4629 0.2772
0.9278 0.5371 0.7228
0.5419 0.9780 0.8062
0.2744 0.8336 0.4817
0.0419 0.0220 0.1938
0.0112 0.0509 0.8083
0.9540 0.5727 0.2832
0.4540 0.4273 0.7168
0.5112 0.9491 0.1917
0.7881 0.7580 0.9996
0.2881 0.2420 0.0004
0.2500 0.7500 0.7374
0.7500 0.2500 0.2626
0.7441 0.2550 0.7388
0.2441 0.7450 0.2612
0.7217 0.7476 0.4997
0.2217 0.2524 0.5003
```

***

no.,theoretical density (g cm⁻³),electronic total energy (eV per atom)
1,5.242,-7.36
2,5.834,-7.38
3,4.593,-6.44
4,4.407,-6.53
5,4.418,-6.40
6,5.577,-8.07
7,6.260,-7.34
8,6.322,-7.47